[1]
An optimized crystal structure of NaMnSi3, computed with GGA-PBE.

a b c (Å): 4.482 4.482 4.482
angles (deg): 90.00 90.00 90.00
Space group Pm-3m (No. 221)
Symmetry-distinct sites (fractional):
1 Na 0.000 0.000 0.000 x1
2 Mn 0.500 0.500 0.500 x1
3 Si 0.000 0.500 0.500 x3

As for the uncorrected formation energy: 0.2084 eV per atom. As for the spin magnetization: 1.9 μB/f.u. The volume is 18.0 A^3/atom.

***

[2]
An optimized crystal structure of NaMn2Si2, computed with GGA-PBE.

a b c (Å): 7.347 7.347 2.576
angles (deg): 90.00 90.00 90.00
Space group P4/mbm (No. 127)
Symmetry-distinct sites (fractional):
1 Na 0.000 0.000 0.000 x2
2 Mn 0.125 0.375 0.000 x4
3 Si 0.166 0.666 0.500 x4

As for the uncorrected formation energy: -0.1083 eV per atom. As for the spin magnetization: 4.3 μB/f.u. The volume is 13.9 A^3/atom.

***

[3]
An optimized crystal structure of NaMnSi3, computed with GGA-PBE.

a b c (Å): 4.757 4.757 4.757
angles (deg): 90.00 90.00 90.00
Space group Pm-3m (No. 221)
Symmetry-distinct sites (fractional):
1 Na 0.000 0.000 0.000 x1
2 Mn 0.500 0.500 0.500 x1
3 Si 0.000 0.000 0.500 x3

As for the uncorrected formation energy: 2.1226 eV per atom. As for the spin magnetization: 0.4 μB/f.u. The volume is 21.5 A^3/atom.

***

[4]
An optimized crystal structure of Na2MnSi, computed with GGA-PBE.

a b c (Å): 6.957 6.957 6.957
angles (deg): 90.00 90.00 90.00
Space group Fm-3m (No. 225)
Symmetry-distinct sites (fractional):
1 Na 0.250 0.250 0.250 x8
2 Mn 0.000 0.000 0.000 x4
3 Si 0.000 0.000 0.500 x4

As for the uncorrected formation energy: 0.6210 eV per atom. As for the spin magnetization: 4.8 μB/f.u. The volume is 21.0 A^3/atom.

***

[5]
An optimized crystal structure of NaMn2Si2, computed with GGA-PBE.

a b c (Å): 3.934 3.934 10.328
angles (deg): 90.00 90.00 90.00
Space group I4/mmm (No. 139)
Symmetry-distinct sites (fractional):
1 Na 0.000 0.000 0.000 x2
2 Mn 0.000 0.500 0.250 x4
3 Si 0.000 0.000 0.377 x4

As for the uncorrected formation energy: -0.0499 eV per atom. As for the spin magnetization: 4.1 μB/f.u. The volume is 16.0 A^3/atom.

***

[6]
An optimized crystal structure of Na2MnSi2, computed with GGA-PBE.

a b c (Å): 6.244 6.244 5.453
angles (deg): 90.00 90.00 90.00
Space group P4/mbm (No. 127)
Symmetry-distinct sites (fractional):
1 Na 0.176 0.324 0.000 x4
2 Mn 0.000 0.000 0.500 x2
3 Si 0.231 0.731 0.500 x4

As for the uncorrected formation energy: 0.2467 eV per atom. As for the spin magnetization: 0.8 μB/f.u. The volume is 21.3 A^3/atom.

***

[7]
An optimized crystal structure of NaMn2Si2, computed with GGA-PBE.

a b c (Å): 7.375 7.375 2.576
angles (deg): 90.00 90.00 90.00
Space group P4/mbm (No. 127)
Symmetry-distinct sites (fractional):
1 Na 0.000 0.000 0.000 x2
2 Mn 0.128 0.372 0.500 x4
3 Si 0.161 0.661 0.000 x4

As for the uncorrected formation energy: -0.0823 eV per atom. As for the spin magnetization: 4.3 μB/f.u. The volume is 14.0 A^3/atom.

***

[8]
An optimized crystal structure of Na2MnSiTe4, computed with GGA-PBE.

a b c (Å): 8.378 8.544 11.865
angles (deg): 90.00 90.00 90.00
Space group Imma (No. 74)
Symmetry-distinct sites (fractional):
1 Na 0.000 0.000 0.000 x4
2 Na 0.250 0.250 0.250 x4
3 Mn 0.000 0.000 0.500 x4
4 Si 0.250 0.250 0.750 x4
5 Te 0.000 0.024 0.733 x8
6 Te 0.224 0.250 0.513 x8

As for the uncorrected formation energy: -0.3371 eV per atom. As for the spin magnetization: 3.3 μB/f.u. The volume is 26.5 A^3/atom.

***

[9]
An optimized crystal structure of NaMnVSi2, computed with GGA-PBE.

a b c (Å): 4.402 4.402 4.644
angles (deg): 90.00 90.00 90.00
Space group P4/mmm (No. 123)
Symmetry-distinct sites (fractional):
1 Na 0.000 0.000 0.000 x1
2 Mn 0.500 0.500 0.500 x1
3 V 0.500 0.500 0.000 x1
4 Si 0.000 0.500 0.500 x2

As for the uncorrected formation energy: 0.3752 eV per atom. As for the spin magnetization: 2.7 μB/f.u. The volume is 18.0 A^3/atom.

***

[10]
An optimized crystal structure of NaMn2ZnSi, computed with GGA-PBE.

a b c (Å): 4.626 4.626 5.224
angles (deg): 90.00 90.00 90.00
Space group P4/mmm (No. 123)
Symmetry-distinct sites (fractional):
1 Na 0.000 0.000 0.000 x1
2 Mn 0.000 0.500 0.500 x2
3 Zn 0.500 0.500 0.000 x1
4 Si 0.000 0.000 0.500 x1

As for the uncorrected formation energy: 0.6720 eV per atom. As for the spin magnetization: 7.4 μB/f.u. The volume is 22.4 A^3/atom.

***

[11]
An optimized crystal structure of Na3Sm2MnTe6, computed with GGA-PBE.

a b c (Å): 7.582 13.215 7.944
angles (deg): 90.00 108.60 90.00
Space group C2/m (No. 12)
Symmetry-distinct sites (fractional):
1 Na 0.000 0.000 0.000 x2
2 Na 0.000 0.327 0.000 x4
3 Sm 0.000 0.167 0.500 x4
4 Mn 0.000 0.500 0.500 x2
5 Te 0.227 0.500 0.279 x4
6 Te 0.232 0.345 0.729 x8

As for the uncorrected formation energy: -0.9875 eV per atom. As for the spin magnetization: 4.0 μB/f.u. The volume is 31.4 A^3/atom.

***

[12]
An optimized crystal structure of Na3Sm3MnTe8, computed with GGA-PBE.

a b c (Å): 8.7849 8.7849 23.0258
angles (deg): 90.00 90.00 120.00
Space group R-3m (No. 166, hexagonal axes)
Symmetry-distinct sites (fractional):
1 Na 0.0000 0.5000 0.0000 x9
2 Sm 0.0000 0.5000 0.5000 x9
3 Mn 0.0000 0.0000 0.5000 x3
4 Te 0.0000 0.0000 0.2460 x6
5 Te 0.0351 0.5176 0.2387 x18

As for the uncorrected formation energy: -1.0266 eV per atom. As for the spin magnetization: 3.1 μB/f.u. The volume is 34.2 A^3/atom.